# SrTc2PtO8 GGA-PBE relaxed
data_SrTc2PtO8
_chemical_formula_sum 'Sr1 Tc2 Pt1 O8'
_symmetry_space_group_name_H-M 'P 1'
_symmetry_Int_Tables_number 1
_symmetry_space_group_name_Hall 'P 1'
_cell_length_a 5.796
_cell_length_b 5.796
_cell_length_c 7.093
_cell_angle_alpha 90.00
_cell_angle_beta 90.00
_cell_angle_gamma 120.00
loop_
_atom_site_label
_atom_site_fract_x
_atom_site_fract_y
_atom_site_fract_z
O1 0.160 0.322 0.713
O2 0.667 0.333 0.970
O3 0.162 0.840 0.713
O4 0.678 0.838 0.713
O5 0.322 0.162 0.287
O6 0.838 0.160 0.287
O7 0.333 0.667 0.030
O8 0.840 0.678 0.287
Pt1 0.000 0.000 0.500
Sr1 0.000 0.000 0.000
Tc1 0.333 0.667 0.783
Tc2 0.667 0.333 0.217
# Calculated density ... 4.9 g/cm³
# Total energy ... -84.347 eV for the cell shown
# Uncorrected formation energy ... -1.35 eV per atom